Material: Al2SiRh8
Method: DFT, GGA-PBE
State: optimized geometry

Properties
The calculation puts the density of states at the Fermi level at 1.2296 states/eV per atom. For the calculated volume, the calculation gives 14.21 Å³/atom. The uncorrected formation energy is -0.41 eV/atom. Its space group is Immm.

Cell: 4.097 6.799 6.874 Å, 119.64 107.34 90.00°
Fractional coordinates of all 11 atoms:
Al (0.205, 0.705, 0.409)
Al (0.795, 0.295, 0.591)
Si (0.500, 0.000, 0.000)
Rh (0.651, 0.870, 0.303)
Rh (0.349, 0.567, 0.697)
Rh (0.136, 0.136, 0.272)
Rh (0.000, 0.319, 0.000)
Rh (0.864, 0.864, 0.728)
Rh (0.651, 0.433, 0.303)
Rh (0.349, 0.130, 0.697)
Rh (0.000, 0.681, 0.000)


Material: Pm2SnPb4
Method: DFT, GGA-PBE
State: optimized geometry

Properties
For the formation enthalpy at 0 K, the calculation gives -0.327 eV per atom. The calculation puts the density of states at the Fermi level at 0.6476 states/eV per atom. For the calculated volume, the calculation gives 31.45 Å³/atom. Its space group is C2/m.

Cell: 6.823 6.823 6.770 Å, 120.32 120.32 90.25°
Fractional coordinates of all 7 atoms:
Pm (0.286, 0.786, 0.571)
Pm (0.786, 0.286, 0.571)
Sn (0.786, 0.786, 0.572)
Pb (0.786, 0.786, 0.072)
Pb (0.286, 0.286, 0.071)
Pb (0.786, 0.286, 0.071)
Pb (0.286, 0.786, 0.071)


Material: Pr2NdN
Method: DFT, GGA-PBE
State: optimized geometry

Properties
The calculation puts the density of states at the Fermi level at 0.8040 states/eV per atom. For the calculated volume, the calculation gives 28.20 Å³/atom. The uncorrected formation energy is -0.54 eV/atom. Its space group is R-3m.

Cell: 3.624 3.624 10.135 Å, 79.70 79.70 60.00°
Fractional coordinates of all 4 atoms:
Pr (0.120, 0.120, 0.641)
Pr (0.880, 0.880, 0.359)
Nd (0.000, 0.000, 0.000)
N (0.500, 0.500, 0.500)


Material: Er4AgAu3
Method: DFT, GGA-PBE
State: optimized geometry

Properties
For the formation enthalpy at 0 K, the calculation gives -0.749 eV per atom. The calculation puts the density of states at the Fermi level at 0.4685 states/eV per atom. For the calculated volume, the calculation gives 22.83 Å³/atom. Its space group is P4/mmm.

Cell: 5.076 7.087 10.152 Å, 90.00 90.00 90.00°
Fractional coordinates of all 16 atoms:
Au (0.000, 0.000, 0.000)
Au (0.000, 0.000, 0.500)
Au (0.500, 0.000, 0.750)
Au (0.500, 0.000, 0.250)
Au (0.500, 0.500, 0.750)
Au (0.500, 0.500, 0.250)
Ag (0.000, 0.500, 0.000)
Ag (0.000, 0.500, 0.500)
Er (0.500, 0.752, 0.000)
Er (0.500, 0.752, 0.500)
Er (0.500, 0.248, 0.000)
Er (0.500, 0.248, 0.500)
Er (0.000, 0.752, 0.750)
Er (0.000, 0.752, 0.250)
Er (0.000, 0.248, 0.250)
Er (0.000, 0.248, 0.750)


Material: Ce3PuOs2
Method: DFT, GGA-PBE
State: optimized geometry

Properties
For the formation enthalpy at 0 K, the calculation gives -0.110 eV per atom. The calculation puts the density of states at the Fermi level at 2.5037 states/eV per atom. For the calculated volume, the calculation gives 23.81 Å³/atom. Its space group is Pmc2_1. The value obtained for the energy relative to the lowest polymorph listed for this composition is 0 meV per atom.

Cell: 4.834 7.086 8.343 Å, 90.00 90.00 90.00°
Each line ends with the local moment (μB).
Fractional coordinates of all 12 atoms:
Ce (0.000, 0.517, 0.924)  0.47
Ce (0.000, 0.017, 0.076)  0.47
Ce (0.500, 0.643, 0.150)  0.47
Ce (0.500, 0.143, 0.850)  0.47
Ce (0.000, 0.358, 0.363)  0.57
Ce (0.000, 0.858, 0.637)  0.57
Pu (0.500, 0.488, 0.569)  5.23
Pu (0.500, 0.988, 0.431)  5.23
Os (0.500, 0.744, 0.809)  -0.19
Os (0.500, 0.244, 0.191)  -0.19
Os (0.000, 0.251, 0.697)  -0.12
Os (0.000, 0.751, 0.303)  -0.12


Material: LiGa2Os
Method: DFT, GGA-PBE
State: optimized geometry

Properties
For the formation enthalpy at 0 K, the calculation gives 0.471 eV per atom. The calculation puts the density of states at the Fermi level at 0.9981 states/eV per atom. For the calculated volume, the calculation gives 24.60 Å³/atom. Its space group is R-3m.

Cell: 4.116 4.116 7.117 Å, 73.19 73.19 60.00°
Fractional coordinates of all 4 atoms:
Os (0.500, 0.500, 0.500)
Ga (0.127, 0.127, 0.619)
Ga (0.873, 0.873, 0.381)
Li (0.000, 0.000, 0.000)